1.
Here is Zn2Si after structural relaxation from OQMD. Energies are from PBE-GGA.

The structure in CIF format:
```
data_Zn2Si
_cell_length_a 4.707
_cell_length_b 4.726
_cell_length_c 4.787
_cell_angle_alpha 90.00
_cell_angle_beta 90.00
_cell_angle_gamma 59.23
_symmetry_space_group_name_H-M 'P 1'
_symmetry_Int_Tables_number 1
_symmetry_space_group_name_Hall 'P 1'
loop_
_atom_site_label
_atom_site_fract_x
_atom_site_fract_y
_atom_site_fract_z
Si1 0.000 0.999 0.000
Zn1 0.667 0.666 0.000
Zn2 0.998 0.336 0.500
Zn3 0.665 0.999 0.500
Zn4 0.334 0.667 0.500
Si2 0.335 0.332 0.000
```

2.
Here is Zn2Si after structural relaxation from OQMD. Energies are from PBE-GGA.

The structure in CIF format:
```
data_Zn2Si
_cell_length_a 11.898
_cell_length_b 7.242
_cell_length_c 4.674
_cell_angle_alpha 90.00
_cell_angle_beta 90.00
_cell_angle_gamma 65.37
_symmetry_space_group_name_H-M 'P 1'
_symmetry_Int_Tables_number 1
_symmetry_space_group_name_Hall 'P 1'
loop_
_atom_site_label
_atom_site_fract_x
_atom_site_fract_y
_atom_site_fract_z
Zn1 0.281 0.916 0.500
Zn2 0.116 0.762 0.500
Zn3 0.666 0.674 0.000
Si1 0.364 0.489 0.500
Zn4 0.165 0.160 0.000
Si2 0.866 0.033 0.500
Zn5 0.417 0.900 0.000
Zn6 0.777 0.460 0.500
Si3 0.830 0.873 0.000
Zn7 0.578 0.086 0.000
Zn8 0.029 0.201 0.500
Zn9 0.529 0.687 0.500
Si4 0.983 0.038 0.000
Zn10 0.695 0.869 0.500
Si5 0.754 0.266 0.000
Zn11 0.950 0.614 0.500
Zn12 0.615 0.276 0.500
Zn13 0.245 0.746 0.000
Si6 0.212 0.322 0.500
Zn14 0.078 0.601 0.000
Zn15 0.500 0.492 0.000
Si7 0.327 0.330 0.000
Si8 0.441 0.094 0.500
Zn16 0.914 0.445 0.000
```

3.
Here is Zn2Si after structural relaxation from OQMD. Energies are from PBE-GGA.

The structure in CIF format:
```
data_Zn2Si
_cell_length_a 5.121
_cell_length_b 5.121
_cell_length_c 5.121
_cell_angle_alpha 60.00
_cell_angle_beta 60.00
_cell_angle_gamma 60.00
_symmetry_space_group_name_H-M 'P 1'
_symmetry_Int_Tables_number 1
_symmetry_space_group_name_Hall 'P 1'
loop_
_atom_site_label
_atom_site_fract_x
_atom_site_fract_y
_atom_site_fract_z
Si1 0.250 0.250 0.250
Si2 0.000 0.000 0.000
Zn1 0.125 0.625 0.625
Zn2 0.625 0.625 0.625
Zn3 0.625 0.625 0.125
Zn4 0.625 0.125 0.625
```

4.
Here is ZnSi after structural relaxation from OQMD. Energies are from PBE-GGA.

The structure in CIF format:
```
data_ZnSi
_cell_length_a 5.437
_cell_length_b 5.437
_cell_length_c 4.744
_cell_angle_alpha 90.00
_cell_angle_beta 90.00
_cell_angle_gamma 120.00
_symmetry_space_group_name_H-M 'P 1'
_symmetry_Int_Tables_number 1
_symmetry_space_group_name_Hall 'P 1'
loop_
_atom_site_label
_atom_site_fract_x
_atom_site_fract_y
_atom_site_fract_z
Si1 0.000 0.000 0.000
Si2 0.328 0.164 0.500
Zn1 0.500 0.500 0.000
Zn2 0.500 0.999 0.000
Zn3 0.333 0.667 0.500
Si3 0.836 0.672 0.500
Zn4 0.001 0.500 0.000
Si4 0.836 0.164 0.500
```

5.
Here is Zn2Si after structural relaxation from OQMD. Energies are from PBE-GGA.

The structure in CIF format:
```
data_Zn2Si
_cell_length_a 14.243
_cell_length_b 2.765
_cell_length_c 4.670
_cell_angle_alpha 90.00
_cell_angle_beta 90.00
_cell_angle_gamma 90.00
_symmetry_space_group_name_H-M 'P 1'
_symmetry_Int_Tables_number 1
_symmetry_space_group_name_Hall 'P 1'
loop_
_atom_site_label
_atom_site_fract_x
_atom_site_fract_y
_atom_site_fract_z
Zn1 0.005 0.000 0.000
Zn2 0.842 0.500 0.000
Zn3 0.342 0.000 0.000
Zn4 0.939 0.500 0.500
Zn5 0.603 0.500 0.500
Zn6 0.439 0.000 0.500
Si1 0.264 0.500 0.500
Zn7 0.103 0.000 0.500
Zn8 0.505 0.500 0.000
Si2 0.681 0.000 0.000
Si3 0.181 0.500 0.000
Si4 0.764 0.000 0.500
```

6.
Here is Zn3Si after structural relaxation from OQMD. Energies are from PBE-GGA.

The structure in CIF format:
```
data_Zn3Si
_cell_length_a 4.725
_cell_length_b 5.443
_cell_length_c 4.712
_cell_angle_alpha 90.00
_cell_angle_beta 90.00
_cell_angle_gamma 90.00
_symmetry_space_group_name_H-M 'P 1'
_symmetry_Int_Tables_number 1
_symmetry_space_group_name_Hall 'P 1'
loop_
_atom_site_label
_atom_site_fract_x
_atom_site_fract_y
_atom_site_fract_z
Zn1 0.500 0.749 0.000
Zn2 0.833 0.249 0.500
Zn3 0.001 0.500 0.000
Zn4 0.332 0.000 0.500
Si1 0.000 0.000 0.000
Si2 0.333 0.500 0.500
Zn5 0.833 0.751 0.500
Zn6 0.500 0.251 0.000
```

7.
Here is Zn3Si after structural relaxation from OQMD. Energies are from PBE-GGA.

The structure in CIF format:
```
data_Zn3Si
_cell_length_a 5.440
_cell_length_b 5.440
_cell_length_c 4.731
_cell_angle_alpha 90.00
_cell_angle_beta 90.00
_cell_angle_gamma 120.01
_symmetry_space_group_name_H-M 'P 1'
_symmetry_Int_Tables_number 1
_symmetry_space_group_name_Hall 'P 1'
loop_
_atom_site_label
_atom_site_fract_x
_atom_site_fract_y
_atom_site_fract_z
Zn1 0.834 0.668 0.500
Zn2 0.332 0.166 0.500
Si1 0.333 0.667 0.500
Zn3 0.499 0.999 0.000
Zn4 0.499 0.501 0.000
Zn5 0.001 0.501 0.000
Si2 0.000 0.000 0.000
Zn6 0.834 0.166 0.500
```

8.
Here is ZnSi after structural relaxation from OQMD. Energies are from PBE-GGA.

The structure in CIF format:
```
data_ZnSi
_cell_length_a 15.411
_cell_length_b 5.118
_cell_length_c 4.790
_cell_angle_alpha 90.00
_cell_angle_beta 90.00
_cell_angle_gamma 90.00
_symmetry_space_group_name_H-M 'P 1'
_symmetry_Int_Tables_number 1
_symmetry_space_group_name_Hall 'P 1'
loop_
_atom_site_label
_atom_site_fract_x
_atom_site_fract_y
_atom_site_fract_z
Si1 0.136 0.763 0.000
Zn1 0.158 0.257 0.000
Si2 0.808 0.987 0.500
Zn2 0.787 0.493 0.500
Si3 0.308 0.763 0.500
Zn3 0.638 0.222 0.500
Zn4 0.816 0.732 0.000
Si4 0.985 0.647 0.000
Si5 0.459 0.646 0.500
Si6 0.451 0.157 0.500
Zn5 0.129 0.018 0.500
Si7 0.993 0.158 0.000
Zn6 0.658 0.493 0.000
Si8 0.959 0.104 0.500
Zn7 0.139 0.527 0.500
Zn8 0.806 0.223 0.000
Si9 0.951 0.593 0.500
Zn9 0.629 0.731 0.500
Si10 0.636 0.987 0.000
Zn10 0.287 0.257 0.500
Si11 0.493 0.592 0.000
Zn11 0.305 0.527 0.000
Si12 0.485 0.103 0.000
Zn12 0.316 0.018 0.000
```

9.
Here is ZnSi after structural relaxation from OQMD. Energies are from PBE-GGA.

The structure in CIF format:
```
data_ZnSi
_cell_length_a 4.703
_cell_length_b 9.083
_cell_length_c 4.700
_cell_angle_alpha 90.00
_cell_angle_beta 90.00
_cell_angle_gamma 90.00
_symmetry_space_group_name_H-M 'P 1'
_symmetry_Int_Tables_number 1
_symmetry_space_group_name_Hall 'P 1'
loop_
_atom_site_label
_atom_site_fract_x
_atom_site_fract_y
_atom_site_fract_z
Si1 0.122 0.705 0.000
Zn1 0.611 0.842 0.000
Zn2 0.133 0.281 0.000
Si2 0.115 0.337 0.500
Zn3 0.401 0.965 0.500
Zn4 0.633 0.552 0.000
Zn5 0.901 0.868 0.500
Zn6 0.111 0.991 0.000
Si3 0.618 0.232 0.500
Si4 0.615 0.496 0.500
Si5 0.622 0.128 0.000
Si6 0.118 0.601 0.500
```

10.
Here is ZnSi after structural relaxation from OQMD. Energies are from PBE-GGA.

The structure in CIF format:
```
data_ZnSi
_cell_length_a 4.672
_cell_length_b 2.612
_cell_length_c 5.154
_cell_angle_alpha 90.00
_cell_angle_beta 90.00
_cell_angle_gamma 90.00
_symmetry_space_group_name_H-M 'P 1'
_symmetry_Int_Tables_number 1
_symmetry_space_group_name_Hall 'P 1'
loop_
_atom_site_label
_atom_site_fract_x
_atom_site_fract_y
_atom_site_fract_z
Si1 0.659 0.500 0.000
Si2 0.675 0.500 0.500
Zn1 0.158 0.000 0.000
Zn2 0.176 0.000 0.500
```

Number 1: total energy -14.35 eV/cell. Number 2: total energy -57.64 eV/cell. Number 3: total energy -13.69 eV/cell. Number 4: total energy -23.95 eV/cell. Number 5: total energy -28.79 eV/cell. Number 6: total energy -16.66 eV/cell. Number 7: total energy -16.67 eV/cell. Number 8: total energy -74.55 eV/cell. Number 9: total energy -36.98 eV/cell. Number 10: total energy -12.23 eV/cell.